Computed, not measured: crystalline Ce4HgC2 at its relaxed geometry at the GGA-PBE level of DFT.

Properties
The value obtained for the magnetic moment is 9.0 μB per cell. The value obtained for the density of states at the Fermi level is 2.065 states/eV/atom. The calculation puts the energy above the most stable polymorph in this dataset at 0 meV per atom. For the formation enthalpy at 0 K, the calculation gives -18.73 kJ/mol of atoms.

Geometry as CIF:
```
data_Ce4HgC2
_chemical_formula_sum 'Ce12 Hg3 C6'
_space_group_name_H-M_alt 'R -3 m'
_space_group_IT_number 166
_space_group_name_Hall '-R 3 2"'
_cell_length_a 3.5440
_cell_length_b 3.5440
_cell_length_c 44.4155
_cell_angle_alpha 90.00
_cell_angle_beta 90.00
_cell_angle_gamma 120.00
loop_
_atom_site_label
_atom_site_type_symbol
_atom_site_fract_x
_atom_site_fract_y
_atom_site_fract_z
Ce1 Ce 0.0000 0.0000 0.1267
Ce2 Ce 0.0000 0.0000 0.2711
Hg1 Hg 0.0000 0.0000 0.0000
C1 C 0.0000 0.0000 0.4285
```



Computed, not measured: crystalline Zr4BeC2 at its relaxed geometry at the GGA-PBE level of DFT.

Properties
The value obtained for the magnetic moment is 0.0 μB per cell. The value obtained for the density of states at the Fermi level is 0.554 states/eV/atom. For the formation enthalpy at 0 K, the calculation gives -49.92 kJ/mol of atoms.

Geometry as CIF:
```
data_Zr4BeC2
_chemical_formula_sum 'Zr16 Be4 C8'
_space_group_name_H-M_alt 'C m c m'
_space_group_IT_number 63
_space_group_name_Hall '-C 2c 2'
_cell_length_a 3.389
_cell_length_b 11.212
_cell_length_c 11.706
_cell_angle_alpha 90.00
_cell_angle_beta 90.00
_cell_angle_gamma 90.00
loop_
_atom_site_label
_atom_site_type_symbol
_atom_site_fract_x
_atom_site_fract_y
_atom_site_fract_z
Zr1 Zr 0.000 0.000 0.000
Zr2 Zr 0.000 0.265 0.111
Zr3 Zr 0.000 0.436 0.750
Be1 Be 0.000 0.111 0.750
C1 C 0.000 0.363 0.560
```



Computed, not measured: crystalline TaWAu3 at its relaxed geometry at the GGA-PBE level of DFT.

Properties
The value obtained for the magnetic moment is 0.0 μB per cell. The value obtained for the density of states at the Fermi level is 1.054 states/eV/atom. The calculation puts the energy above the most stable polymorph in this dataset at 0 meV per atom. For the formation enthalpy at 0 K, the calculation gives 176.51 kJ/mol of atoms.

Geometry as CIF:
```
data_TaWAu3
_chemical_formula_sum 'Ta1 W1 Au3'
_space_group_name_H-M_alt 'P m -3 m'
_space_group_IT_number 221
_space_group_name_Hall '-P 4 2 3'
_cell_length_a 4.922
_cell_length_b 4.922
_cell_length_c 4.922
_cell_angle_alpha 90.00
_cell_angle_beta 90.00
_cell_angle_gamma 90.00
loop_
_atom_site_label
_atom_site_type_symbol
_atom_site_fract_x
_atom_site_fract_y
_atom_site_fract_z
Ta1 Ta 0.000 0.000 0.000
W1 W 0.500 0.500 0.500
Au1 Au 0.000 0.500 0.500
```



Computed, not measured: crystalline CePtAu at its relaxed geometry at the GGA-PBE level of DFT.

Properties
The value obtained for the magnetic moment is 2.0 μB per cell. The value obtained for the density of states at the Fermi level is 1.546 states/eV/atom. The calculation puts the energy above the most stable polymorph in this dataset at 310 meV per atom. For the formation enthalpy at 0 K, the calculation gives -55.92 kJ/mol of atoms.

Geometry as CIF:
```
data_CePtAu
_chemical_formula_sum 'Ce4 Pt4 Au4'
_space_group_name_H-M_alt 'P 42/m m c'
_space_group_IT_number 131
_space_group_name_Hall '-P 4c 2'
_cell_length_a 7.294
_cell_length_b 7.294
_cell_length_c 5.365
_cell_angle_alpha 90.00
_cell_angle_beta 90.00
_cell_angle_gamma 90.00
loop_
_atom_site_label
_atom_site_type_symbol
_atom_site_fract_x
_atom_site_fract_y
_atom_site_fract_z
Ce1 Ce 0.000 0.270 0.000
Pt1 Pt 0.000 0.302 0.500
Au1 Au 0.320 0.500 0.500
```



Computed, not measured: crystalline Sc4Pd2N at its relaxed geometry at the GGA-PBE level of DFT.

Properties
The value obtained for the magnetic moment is 0.0 μB per cell. The value obtained for the density of states at the Fermi level is 0.999 states/eV/atom. Its energy relative to the elements, uncorrected is -945 meV/atom.

Geometry as CIF:
```
data_Sc4Pd2N
_chemical_formula_sum 'Sc8 Pd4 N2'
_space_group_name_H-M_alt 'I 4/m m m'
_space_group_IT_number 139
_space_group_name_Hall '-I 4 2'
_cell_length_a 4.325
_cell_length_b 4.325
_cell_length_c 13.706
_cell_angle_alpha 90.00
_cell_angle_beta 90.00
_cell_angle_gamma 90.00
loop_
_atom_site_label
_atom_site_type_symbol
_atom_site_fract_x
_atom_site_fract_y
_atom_site_fract_z
Sc1 Sc 0.000 0.000 0.171
Sc2 Sc 0.000 0.500 0.000
Pd1 Pd 0.000 0.000 0.362
N1 N 0.000 0.000 0.000
```



Computed, not measured: crystalline NaMg6Tl4 at its relaxed geometry at the GGA-PBE level of DFT.

Properties
The value obtained for the magnetic moment is 0.0 μB per cell. The value obtained for the density of states at the Fermi level is 0.348 states/eV/atom. For the formation enthalpy at 0 K, the calculation gives -2.91 kJ/mol of atoms.

Geometry as CIF:
```
data_NaMg6Tl4
_chemical_formula_sum 'Na1 Mg6 Tl4'
_space_group_name_H-M_alt 'P -6 m 2'
_space_group_IT_number 187
_space_group_name_Hall 'P -6 2'
_cell_length_a 8.8694
_cell_length_b 8.8694
_cell_length_c 4.2400
_cell_angle_alpha 90.00
_cell_angle_beta 90.00
_cell_angle_gamma 120.00
loop_
_atom_site_label
_atom_site_type_symbol
_atom_site_fract_x
_atom_site_fract_y
_atom_site_fract_z
Na1 Na 0.0000 0.0000 0.0000
Mg1 Mg 0.2016 0.4032 0.5000
Mg2 Mg 0.5320 0.0640 0.0000
Tl1 Tl 0.3333 0.6667 0.0000
Tl2 Tl 0.3664 0.1832 0.5000
```